No. 1
DFT (PBE-GGA) results for crystalline Y4AsSe2 at its relaxed geometry.

Structure (extended XYZ):
```
7
Lattice="-1.8835 -1.2822 -4.8873 5.0431 -0.7986 -1.7341 1.1670 -7.9006 -1.3518" Properties=species:S:1:pos:R:3 pbc="T T T"
Y 1.3332 -5.1387 -2.1404
Y 2.9934 -4.8427 -5.8327
Y 2.5215 -0.3993 -0.8670
Y -0.9418 -0.6411 -2.4436
As 0.0000 0.0000 0.0000
Se 1.4894 -2.5433 -2.8815
Se 2.8372 -7.4381 -5.0916
```

Computed properties:
offset from the most stable computed form	3.23	eV/f.u.
formation energy without anion corrections	-6.5	eV/f.u.
space group	I4/mmm, No. 139

***

No. 2
DFT (PBE-GGA) results for crystalline DyInIrRh at its relaxed geometry.

Structure (extended XYZ):
```
4
Lattice="-3.6154 -2.9674 -0.5297 0.6838 -4.2118 -1.9876 -0.2427 -3.9050 2.6173" Properties=species:S:1:pos:R:3 pbc="T T T"
In -2.3807 -8.3132 0.0749
Dy -0.7936 -2.7711 0.0250
Ir 0.0000 0.0000 0.0000
Rh -1.5872 -5.5421 0.0500
```

Computed properties:
offset from the most stable computed form	0.07	eV/f.u.
DFT formation energy	-0.635	eV/atom
space group	F-43m, No. 216

***

No. 3
DFT (PBE-GGA) results for crystalline Sm3HoSc6 at its relaxed geometry.

Structure (extended XYZ):
```
20
Lattice="-5.1382 -2.8886 0.6581 4.9936 -9.0644 -0.7987 -1.1968 4.2671 9.3860" Properties=species:S:1:pos:R:3 pbc="T T T"
Sc -0.3325 -3.9413 6.8019
Sc -5.7331 0.7530 9.4285
Sc 2.3165 -9.6055 0.0826
Sc -0.0713 -9.1075 4.9743
Sc -1.7307 -2.1747 3.6397
Sc -2.3113 0.8363 4.4044
Sc -2.1581 -6.4708 0.2545
Sc -0.2245 -1.8004 9.1242
Sc -3.5723 -5.1858 2.7718
Sc -2.5533 -1.6575 6.6760
Sc 2.4047 -5.3578 2.4166
Sc -2.1741 -6.9524 5.9340
Sm 1.0026 -1.4268 5.2326
Sm -4.9584 -2.2789 3.2152
Sm -0.4800 -5.2111 3.7740
Sm 1.3407 -6.6867 6.3217
Sm -2.5083 -5.3746 8.7565
Sm -1.1093 -3.5910 0.7804
Ho -0.7651 0.7361 7.2226
Ho 0.0770 -8.0548 1.9391
```

Computed properties:
offset from the most stable computed form	0.00	eV/f.u.
DFT formation energy	0.164	eV/atom
space group	Cmc2_1, No. 36

***

No. 4
DFT (PBE-GGA) results for crystalline TiCo2PtC at its relaxed geometry.

Structure (extended XYZ):
```
5
Lattice="-0.2178 0.1270 3.7619 0.9461 -3.6453 0.1778 4.0182 1.0524 0.1971" Properties=species:S:1:pos:R:3 pbc="T T T"
Co -0.1089 0.0635 1.8809
Co 0.4730 -1.8227 0.0889
C 0.0000 0.0000 0.0000
Pt 2.3732 -1.2330 2.0684
Ti 2.0091 0.5262 0.0985
```

Computed properties:
DFT formation energy	-0.270	eV/atom
space group	P4/mmm, No. 123

***

No. 5
DFT (PBE-GGA) results for crystalline BaSr2PdI at its relaxed geometry.

Structure (extended XYZ):
```
5
Lattice="5.9877 0.0000 0.0000 0.0000 5.9877 0.0000 0.0000 0.0000 6.3456" Properties=species:S:1:pos:R:3 pbc="T T T"
Pd 0.0000 0.0000 0.0000
Sr 0.0000 2.9938 0.0000
Sr 2.9938 0.0000 0.0000
I 2.9938 2.9938 3.1728
Ba 0.0000 0.0000 3.1728
```

Computed properties:
formation energy without anion corrections	-3.0	eV/f.u.
space group	P4/mmm, No. 123

***

No. 6
DFT (PBE-GGA) results for crystalline TiSb2Rh2 at its relaxed geometry.

Structure (extended XYZ):
```
10
Lattice="7.4683 0.0000 0.0000 0.0000 7.4683 0.0000 0.0000 0.0000 3.2890" Properties=species:S:1:pos:R:3 pbc="T T T"
Ti 3.7341 3.7341 0.0000
Ti 0.0000 0.0000 0.0000
Sb 2.4755 1.2586 1.6445
Sb 4.9928 6.2096 1.6445
Sb 1.2586 4.9928 1.6445
Sb 6.2096 2.4755 1.6445
Rh 2.7515 6.4857 0.0000
Rh 6.4857 4.7168 0.0000
Rh 0.9826 2.7515 0.0000
Rh 4.7168 0.9826 0.0000
```

Computed properties:
formation energy without anion corrections	-1.2	eV/f.u.
space group	P4/mbm, No. 127

***

No. 7
DFT (PBE-GGA) results for crystalline Zr2GaIr at its relaxed geometry.

Structure (extended XYZ):
```
8
Lattice="-5.2155 2.9941 4.3091 -4.9187 -4.9056 -2.5447 -4.3174 -2.8670 3.1176" Properties=species:S:1:pos:R:3 pbc="T T T"
Ga -5.0671 -0.9558 0.8822
Ga -7.1516 -4.3642 0.7276
Ir 0.0000 0.0000 0.0000
Ir -7.3000 -0.4143 4.1545
Zr -5.0988 0.6246 3.2743
Zr -6.9017 -2.7308 3.0706
Zr -12.2422 -3.9592 3.8114
Zr -4.6606 -3.4917 -0.3921
```

Computed properties:
DFT formation energy	-0.196	eV/atom
space group	I-42d, No. 122

***

No. 8
DFT (PBE-GGA) results for crystalline CrSb at its relaxed geometry.

Structure (extended XYZ):
```
2
Lattice="3.9284 0.0000 0.0000 -1.9642 3.4021 0.0000 0.0000 0.0000 3.2502" Properties=species:S:1:pos:R:3 pbc="T T T"
Sb 0.0000 2.2680 1.6251
Cr 0.0000 0.0000 0.0000
```

Computed properties:
formation energy without anion corrections	0.6	eV/f.u.
space group	P-6m2, No. 187

***

No. 9
DFT (PBE-GGA) results for crystalline MnRe4Ir at its relaxed geometry.

Structure (extended XYZ):
```
12
Lattice="4.6440 -0.2234 -0.9086 -2.5747 6.0773 -2.4528 0.0436 -0.4878 6.5923" Properties=species:S:1:pos:R:3 pbc="T T T"
Re 1.4800 2.9699 3.8013
Re 0.7681 0.4245 1.2472
Re 3.6168 1.5042 3.1920
Re 2.9810 1.0009 -0.3929
Re 0.6329 2.3963 -0.5704
Re -0.8681 4.3652 3.6238
Re 1.3448 4.9417 1.9837
Re -1.5039 3.8620 0.0389
Mn -0.1096 2.7274 1.8194
Mn 2.2226 2.6388 1.4115
Ir 0.7471 5.2520 -0.6715
Ir 1.3658 0.1141 3.9025
```

Computed properties:
offset from the most stable computed form	0.00	eV/f.u.
DFT formation energy	0.148	eV/atom
space group	C2/c, No. 15

***

No. 10
DFT (PBE-GGA) results for crystalline Ag2TePt at its relaxed geometry.

Structure (extended XYZ):
```
4
Lattice="-0.2761 -3.7631 1.5241 3.7130 0.3839 1.6205 -1.8699 1.7084 3.8796" Properties=species:S:1:pos:R:3 pbc="T T T"
Ag 0.0000 0.0000 0.0000
Ag 1.7184 -1.6896 1.5723
Pt -1.0730 -1.0273 2.7018
Te 0.9216 1.0462 2.7501
```

Computed properties:
formation energy without anion corrections	0.2	eV/f.u.
space group	P4/mmm, No. 123

***

No. 11
DFT (PBE-GGA) results for crystalline Ho2TmTe at its relaxed geometry.

Structure (extended XYZ):
```
4
Lattice="3.8477 0.0000 0.0000 0.0000 3.8477 0.0000 0.0000 0.0000 7.7295" Properties=species:S:1:pos:R:3 pbc="T T T"
Te 1.9238 1.9238 0.0000
Ho 0.0000 0.0000 5.9628
Ho 0.0000 0.0000 1.7668
Tm 1.9238 1.9238 3.8648
```

Computed properties:
offset from the most stable computed form	0.35	eV/f.u.
formation energy without anion corrections	-2.2	eV/f.u.
space group	P4/mmm, No. 123

***

No. 12
DFT (PBE-GGA) results for crystalline PmNd2Dy3Tm6 at its relaxed geometry.

Structure (extended XYZ):
```
12
Lattice="6.1520 0.0013 0.0064 -3.0734 5.3293 0.0064 -1.0348 -1.7918 11.4958" Properties=species:S:1:pos:R:3 pbc="T T T"
Tm 2.0529 3.5546 2.9206
Tm -0.0063 3.5382 8.5950
Tm -0.0092 -0.0159 8.5881
Tm -1.0240 1.7759 2.9137
Tm 3.0678 1.7628 8.5950
Tm 2.0500 0.0005 2.9137
Nd 0.0020 3.5531 0.0064
Nd 3.0766 1.7774 0.0064
Dy 1.0219 1.7693 5.7543
Dy 4.0970 -0.0067 5.7543
Dy -2.0533 3.5454 5.7543
Pm 0.0000 0.0000 0.0000
```

Computed properties:
DFT formation energy	0.022	eV/atom
space group	C2/m, No. 12

***

No. 13
DFT (PBE-GGA) results for crystalline TcTeIr2 at its relaxed geometry.

Structure (extended XYZ):
```
4
Lattice="-4.4387 1.8020 -0.6160 0.3347 -0.7999 -4.7515 -1.1105 -2.6118 0.3614" Properties=species:S:1:pos:R:3 pbc="T T T"
Ir -2.0520 0.5011 -2.6838
Ir 0.0000 0.0000 0.0000
Te -0.3879 -1.7058 -2.1950
Tc -2.7746 -0.4049 -0.1273
```

Computed properties:
formation energy without anion corrections	2.3	eV/f.u.
space group	P4/mmm, No. 123

***

Going through the records in order, we get density values of 4.7 12.9 5.3 10.5 4.0 9.0 8.9 6.6 18.7 11.7 9.1 8.5 15.2 Mg/m³.
Going through the records in order, we get total magnetic moment values of 0.00 0.00 0.00 1.14 0.00 0.00 0.00 3.20 0.00 0.00 0.00 0.00 0.00 Bohr magnetons per cell.
Going through the records in order, we get uncorrected energy values of -6.281 -6.524 -5.508 -7.744 -3.003 -6.406 -7.442 -6.562 -11.156 -3.681 -4.735 -4.555 -7.242 eV per atom.